This record from Alexandria describes crystalline AlNi2W at its relaxed geometry. The functional is PBE.

Summary:
For the formation energy from the elements, the calculation gives -0.14 eV per atom. The volume comes out at 52 Å³ per cell. The calculation puts the total energy at -7.200 eV/atom.

Unit cell a=4.5364 b=4.5364 c=4.5836 alpha=101.03 beta=101.03 gamma=34.37
Closest atoms and distances in Å follow each position.
Element x y z (fractional)
Al1 0.0000 0.0000 0.0000  7 Ni 2.49-2.76, 2 Al 2.68
Ni1 0.2569 0.2569 0.8217  3 Al 2.49-2.52, 4 W 2.62-2.69, 4 Ni 2.63-2.68
Ni2 0.5124 0.5124 0.5318  3 W 2.51-2.56, 4 Al 2.55-2.76, 5 Ni 2.63-2.80
W1 0.7623 0.7623 0.3336  7 Ni 2.51-2.69, 2 W 2.68, 1 Al 2.80

=====

This record from Alexandria describes crystalline Rb2TiMnNb at its relaxed geometry. The functional is PBE.

Summary:
For the formation energy from the elements, the calculation gives 1.74 eV per atom. The volume comes out at 216 Å³ per cell. The calculation puts the total energy at -4.078 eV/atom.

Unit cell a=6.8290 b=6.8290 c=4.6317 alpha=90.00 beta=90.00 gamma=90.00
Closest atoms and distances in Å follow each position.
Element x y z (fractional)
Rb1 0.0000 0.5000 0.0000  2 Ti 3.41
Rb2 0.5000 0.0000 0.0000  2 Ti 3.41
Ti1 0.0000 0.0000 0.0000  2 Nb 2.32
Mn1 0.5000 0.5000 0.5000  8 Rb 4.13
Nb1 0.0000 0.0000 0.5000  2 Ti 2.32